1.
First-principles (PBE) data for a geometry-optimized Ho4Ge6Ir7 structure, as listed in Alexandria via LeMat-Bulk.

Computed properties:
Formation energy (eV per atom): -0.88

Cell: 7.2657 7.2657 7.2657 Å, 109.47 109.47 109.47°
With the nearest neighbours (Å) after each atom.
Fractional positions:
1 Ho 0.0000 0.0000 0.5000  6 Ir 2.97, 6 Ge 3.02
2 Ho 0.0000 0.5000 0.0000  6 Ir 2.97, 6 Ge 3.02
3 Ho 0.5000 0.0000 0.0000  6 Ir 2.97, 6 Ge 3.02
4 Ho 0.5000 0.5000 0.5000  6 Ir 2.97, 6 Ge 3.02
5 Ge 0.0000 0.3176 0.3176  5 Ir 2.60-2.66
6 Ge 0.0000 0.6824 0.6824  5 Ir 2.60-2.66
7 Ge 0.3176 0.0000 0.3176  5 Ir 2.60-2.66
8 Ge 0.3176 0.3176 0.0000  5 Ir 2.60-2.66
9 Ge 0.6824 0.0000 0.6824  5 Ir 2.60-2.66
10 Ge 0.6824 0.6824 0.0000  5 Ir 2.60-2.66
11 Ir 0.0000 0.0000 0.0000  6 Ge 2.66
12 Ir 0.2500 0.5000 0.7500  4 Ge 2.60
13 Ir 0.2500 0.7500 0.5000  4 Ge 2.60
14 Ir 0.5000 0.2500 0.7500  4 Ge 2.60
15 Ir 0.5000 0.7500 0.2500  4 Ge 2.60
16 Ir 0.7500 0.2500 0.5000  4 Ge 2.60
17 Ir 0.7500 0.5000 0.2500  4 Ge 2.60

=====

2.
First-principles (PBE) data for a geometry-optimized HoGe3Ir3 structure, as listed in Alexandria via LeMat-Bulk.

Computed properties:
Formation energy (eV per atom): -0.03
E above lowest polymorph (meV/atom): 423

Cell: 6.7411 6.7411 6.7411 Å, 90.00 90.00 90.00°
With the nearest neighbours (Å) after each atom.
Fractional positions:
1 Ho 0.0000 0.0000 0.0000  12 Ge 3.77, 12 Ir 3.77
2 Ho 0.5000 0.5000 0.5000  12 Ge 3.77, 12 Ir 3.77
3 Ge 0.0000 0.2500 0.5000  4 Ir 2.38
4 Ge 0.0000 0.7500 0.5000  4 Ir 2.38
5 Ge 0.2500 0.5000 0.0000  4 Ir 2.38
6 Ge 0.5000 0.0000 0.2500  4 Ir 2.38
7 Ge 0.5000 0.0000 0.7500  4 Ir 2.38
8 Ge 0.7500 0.5000 0.0000  4 Ir 2.38
9 Ir 0.0000 0.5000 0.2500  4 Ge 2.38
10 Ir 0.0000 0.5000 0.7500  4 Ge 2.38
11 Ir 0.2500 0.0000 0.5000  4 Ge 2.38
12 Ir 0.5000 0.2500 0.0000  4 Ge 2.38
13 Ir 0.5000 0.7500 0.0000  4 Ge 2.38
14 Ir 0.7500 0.0000 0.5000  4 Ge 2.38

=====

3.
First-principles (PBE) data for a geometry-optimized Ho3Ge3Ir structure, as listed in Alexandria via LeMat-Bulk.

Computed properties:
Formation energy (eV per atom): -0.90

Cell: 5.6951 5.6951 13.9490 Å, 108.16 108.16 44.03°
With the nearest neighbours (Å) after each atom.
Fractional positions:
1 Ho 0.0289 0.0289 0.3788  7 Ge 2.97-3.31, 4 Ir 3.00-3.31
2 Ho 0.1025 0.1025 0.9227  7 Ge 2.92-3.18
3 Ho 0.2423 0.2423 0.2334  2 Ir 3.02, 6 Ge 3.02-3.08
4 Ho 0.7577 0.7577 0.7666  2 Ir 3.02, 6 Ge 3.02-3.08
5 Ho 0.8975 0.8975 0.0773  7 Ge 2.92-3.18
6 Ho 0.9711 0.9711 0.6212  7 Ge 2.97-3.31, 4 Ir 3.00-3.31
7 Ge 0.3613 0.3613 0.4629  3 Ir 2.50-2.71, 1 Ge 2.76
8 Ge 0.3809 0.3809 0.9263  2 Ge 2.66, 3 Ho 2.92-2.96
9 Ge 0.4696 0.4696 0.7693  1 Ir 2.59, 1 Ge 2.66
10 Ge 0.5304 0.5304 0.2307  1 Ir 2.59, 1 Ge 2.66
11 Ge 0.6191 0.6191 0.0737  2 Ge 2.66, 3 Ho 2.92-2.96
12 Ge 0.6387 0.6387 0.5371  3 Ir 2.50-2.71, 1 Ge 2.76
13 Ir 0.2511 0.2511 0.6121  4 Ge 2.50-2.71
14 Ir 0.7489 0.7489 0.3879  4 Ge 2.50-2.71

=====

4.
First-principles (PBE) data for a geometry-optimized Ho4GeIr structure, as listed in Alexandria via LeMat-Bulk.

Computed properties:
Formation energy (eV per atom): -0.62

Cell: 8.4887 8.4887 8.4887 Å, 132.86 132.86 68.87°
With the nearest neighbours (Å) after each atom.
Fractional positions:
1 Ho 0.1132 0.6132 0.9664  2 Ir 2.80-3.06, 2 Ge 3.02
2 Ho 0.1469 0.1132 0.5000  2 Ir 2.80-3.06, 2 Ge 3.02
3 Ho 0.3531 0.8531 0.9664  2 Ir 2.80-3.06, 2 Ge 3.02
4 Ho 0.3868 0.3531 0.5000  2 Ir 2.80-3.06, 2 Ge 3.02
5 Ho 0.6132 0.6469 0.5000  2 Ir 2.80-3.06, 2 Ge 3.02
6 Ho 0.6469 0.1469 0.0336  2 Ir 2.80-3.06, 2 Ge 3.02
7 Ho 0.8531 0.8868 0.5000  2 Ir 2.80-3.06, 2 Ge 3.02
8 Ho 0.8868 0.3868 0.0336  2 Ir 2.80-3.06, 2 Ge 3.02
9 Ge 0.2500 0.2500 0.0000  8 Ho 3.02
10 Ge 0.7500 0.7500 0.0000  8 Ho 3.02
11 Ir 0.0000 0.5000 0.5000  8 Ho 2.80-3.06
12 Ir 0.5000 0.0000 0.5000  8 Ho 2.80-3.06

=====

5.
First-principles (PBE) data for a geometry-optimized Ho2Ge5Ir3 structure, as listed in Alexandria via LeMat-Bulk.

Computed properties:
Formation energy (eV per atom): -0.70
E above lowest polymorph (meV/atom): 2

Cell: 12.5293 12.5293 6.8847 Å, 90.00 90.00 160.65°
With the nearest neighbours (Å) after each atom.
Fractional positions:
1 Ho 0.0203 0.9797 0.5000  3 Ir 2.81-2.98, 3 Ge 2.91-3.13
2 Ho 0.3244 0.6756 0.4994  8 Ge 2.96-3.25, 4 Ir 3.15-3.30
3 Ho 0.6756 0.3244 0.9994  8 Ge 2.96-3.25, 4 Ir 3.15-3.30
4 Ho 0.9797 0.0203 0.0000  3 Ir 2.81-2.98, 3 Ge 2.91-3.13
5 Ge 0.1006 0.8994 0.1373  3 Ir 2.47-2.54
6 Ge 0.2059 0.7941 0.7036  4 Ir 2.51-2.66
7 Ge 0.2084 0.7916 0.2771  3 Ir 2.58-2.63, 1 Ge 2.83
8 Ge 0.3819 0.6181 0.0225  4 Ir 2.57-2.72, 1 Ge 2.78
9 Ge 0.4525 0.5475 0.3375  4 Ir 2.60-2.63, 1 Ge 2.78
10 Ge 0.5475 0.4525 0.8375  4 Ir 2.60-2.63, 1 Ge 2.78
11 Ge 0.6181 0.3819 0.5225  4 Ir 2.57-2.72, 1 Ge 2.78
12 Ge 0.7916 0.2084 0.7771  3 Ir 2.58-2.63, 1 Ge 2.83
13 Ge 0.7941 0.2059 0.2036  4 Ir 2.51-2.66
14 Ge 0.8994 0.1006 0.6373  3 Ir 2.47-2.54
15 Ir 0.1060 0.8940 0.7688  6 Ge 2.51-2.72
16 Ir 0.2783 0.7217 0.9892  7 Ge 2.57-2.66
17 Ir 0.4462 0.5538 0.7187  5 Ge 2.47-2.63
18 Ir 0.5538 0.4462 0.2187  5 Ge 2.47-2.63
19 Ir 0.7217 0.2783 0.4892  7 Ge 2.57-2.66
20 Ir 0.8940 0.1060 0.2688  6 Ge 2.51-2.72

=====

6.
First-principles (PBE) data for a geometry-optimized HoGe3Ir structure, as listed in Alexandria via LeMat-Bulk.

Computed properties:
Formation energy (eV per atom): -0.54

Cell: 6.0346 5.5969 5.8250 Å, 90.00 90.00 90.00°
With the nearest neighbours (Å) after each atom.
Fractional positions:
1 Ho 0.0000 0.1459 0.0000  7 Ge 2.85-3.14, 1 Ir 3.06
2 Ho 0.5000 0.8541 0.5000  7 Ge 2.85-3.14, 1 Ir 3.06
3 Ge 0.0000 0.9007 0.5719  1 Ir 2.39
4 Ge 0.2368 0.3160 0.4522  2 Ir 2.43-2.48
5 Ge 0.2632 0.6840 0.9522  2 Ir 2.43-2.48
6 Ge 0.5000 0.0993 0.0719  1 Ir 2.39
7 Ge 0.7368 0.6840 0.9522  2 Ir 2.43-2.48
8 Ge 0.7632 0.3160 0.4522  2 Ir 2.43-2.48
9 Ir 0.0000 0.6199 0.2624  5 Ge 2.39-2.48
10 Ir 0.5000 0.3801 0.7624  5 Ge 2.39-2.48

=====

7.
First-principles (PBE) data for a geometry-optimized Ho2GeIr structure, as listed in Alexandria via LeMat-Bulk.

Computed properties:
Formation energy (eV per atom): -0.56

Cell: 7.6624 7.6624 7.6624 Å, 29.43 29.43 29.43°
With the nearest neighbours (Å) after each atom.
Fractional positions:
1 Ho 0.2420 0.2420 0.2420  3 Ir 2.79, 3 Ge 3.01
2 Ho 0.7580 0.7580 0.7580  3 Ir 2.79, 3 Ge 3.01
3 Ge 0.0000 0.0000 0.0000  6 Ho 3.01
4 Ir 0.5000 0.5000 0.5000  6 Ho 2.79

=====

8.
First-principles (PBE) data for a geometry-optimized Ho2Ge2Ir3 structure, as listed in Alexandria via LeMat-Bulk.

Computed properties:
Formation energy (eV per atom): -0.43

Cell: 5.8318 3.3029 8.2256 Å, 90.00 109.48 90.00°
With the nearest neighbours (Å) after each atom.
Fractional positions:
1 Ho 0.1082 0.0000 0.2439  6 Ir 2.87-2.94
2 Ho 0.8918 0.0000 0.7561  6 Ir 2.87-2.94
3 Ge 0.3710 0.5000 0.7443  3 Ir 2.41-2.50
4 Ge 0.6290 0.5000 0.2557  3 Ir 2.41-2.50
5 Ir 0.0000 0.5000 0.5000  2 Ge 2.41
6 Ir 0.2556 0.5000 0.0113  2 Ge 2.42-2.50
7 Ir 0.7444 0.5000 0.9887  2 Ge 2.42-2.50